CrHg2TeO6: optimized geometry, PBE with a Hubbard U.

a b c (Å): 5.313 5.575 5.887
angles (deg): 116.71 112.71 91.21
Space group P1 (No. 1)
Symmetry-distinct sites (fractional):
1 Cr 0.000 0.000 0.000 x1
2 Hg 0.185 0.746 0.463 x1
3 Hg 0.746 0.265 0.464 x1
4 Te 0.468 0.487 0.950 x1
5 O 0.072 0.092 0.763 x1
6 O 0.117 0.644 0.829 x1
7 O 0.289 0.159 0.339 x1
8 O 0.523 0.653 0.333 x1
9 O 0.705 0.817 0.018 x1
10 O 0.834 0.336 0.124 x1

DFT total energy   -0.1798 hartree per atom